[1]
The following is a PBE calculation of BaScCo after structural relaxation, from Alexandria.

a b c (Å): 3.909 5.100 10.273
angles (deg): 88.46 88.09 67.66
Atoms (fractional coordinates):
Ba (0.165, 0.229, 0.182)
Ba (0.835, 0.771, 0.818)
Co (0.585, 0.344, 0.416)
Co (0.415, 0.656, 0.584)
Sc (0.140, 0.208, 0.570)
Sc (0.860, 0.792, 0.430)

space group: No. 2
M_tot: 0.0 μB per cell
distance to the lowest polymorph of the same formula: 11 meV per atom
energy of formation: 7 meV/atom
theoretical density: 4.23 g cm⁻³

[2]
The following is a PBE calculation of PuCuPSe after structural relaxation, from Alexandria.

a b c (Å): 3.958 3.958 9.345
angles (deg): 90.00 90.00 90.00
Last column: magnetic moment on the atom in μB.
Atoms (fractional coordinates):
P (0.000, 0.500, 0.847)  -0.11
P (0.500, 0.000, 0.153)  -0.11
Pu (0.500, 0.000, 0.739)  5.10
Pu (0.000, 0.500, 0.261)  5.10
Cu (0.500, 0.500, 0.000)  -0.05
Cu (0.000, 0.000, 0.000)  -0.05
Se (0.500, 0.500, 0.500)  -0.06
Se (0.000, 0.000, 0.500)  -0.06

space group: No. 129
M_tot: 10.1 μB per cell
formation energy from raw total energies: -293 kJ/mol of formula units
theoretical density: 9.47 g cm⁻³

[3]
The following is a PBE calculation of AcTm2As after structural relaxation, from Alexandria.

a b c (Å): 3.818 3.818 10.922
angles (deg): 79.93 79.93 60.00
Atoms (fractional coordinates):
Ac (0.000, 0.000, 0.000)
Tm (0.886, 0.886, 0.343)
Tm (0.114, 0.114, 0.657)
As (0.500, 0.500, 0.500)

space group: No. 166
M_tot: 0.0 μB per cell
energy of formation: -446 meV/atom
theoretical density: 7.87 g cm⁻³

[4]
The following is a PBE calculation of K4AlMo after structural relaxation, from Alexandria.

a b c (Å): 7.045 7.045 7.045
angles (deg): 60.00 60.00 60.00
Last column: magnetic moment on the atom in μB.
Atoms (fractional coordinates):
Al (0.000, 0.000, 0.000)  -0.06
Mo (0.750, 0.750, 0.750)  3.77
K (0.375, 0.375, 0.876)  0.00
K (0.375, 0.876, 0.375)  0.00
K (0.876, 0.375, 0.375)  0.00
K (0.375, 0.375, 0.375)  0.00

space group: No. 216
M_tot: 4.4 μB per cell
energy of formation: 1171 meV/atom
theoretical density: 1.88 g cm⁻³

[5]
The following is a PBE calculation of LiAcCeAu after structural relaxation, from Alexandria.

a b c (Å): 5.406 5.406 5.406
angles (deg): 60.00 60.00 60.00
Last column: magnetic moment on the atom in μB.
Atoms (fractional coordinates):
Li (0.500, 0.500, 0.500)  0.00
Ce (0.750, 0.750, 0.750)  0.89
Ac (0.250, 0.250, 0.250)  0.05
Au (0.000, 0.000, 0.000)  0.01

space group: No. 216
M_tot: 1.2 μB per cell
energy of formation: -203 meV/atom
theoretical density: 8.49 g cm⁻³

[6]
The following is a PBE calculation of CoHg4 after structural relaxation, from Alexandria.

a b c (Å): 5.107 5.107 5.107
angles (deg): 90.00 90.00 90.00
Last column: magnetic moment on the atom in μB.
Atoms (fractional coordinates):
Co (0.500, 0.500, 0.500)  0.92
Hg (0.000, 0.000, 0.000)  -0.01
Hg (0.000, 0.500, 0.500)  -0.01
Hg (0.500, 0.000, 0.500)  -0.01
Hg (0.500, 0.500, 0.000)  -0.01

space group: No. 221
M_tot: 0.8 μB per cell
energy of formation: 310 meV/atom
theoretical density: 10.74 g cm⁻³

[7]
The following is a PBE calculation of CaSiW3 after structural relaxation, from Alexandria.

a b c (Å): 4.613 4.613 4.613
angles (deg): 90.00 90.00 90.00
Atoms (fractional coordinates):
W (0.000, 0.000, 0.500)
W (0.500, 0.000, 0.000)
W (0.000, 0.500, 0.000)
Si (0.500, 0.500, 0.500)
Ca (0.000, 0.000, 0.000)

space group: No. 221
M_tot: 0.0 μB per cell
distance to the lowest polymorph of the same formula: 2141 meV per atom
formation energy from raw total energies: 1603 kJ/mol of formula units
theoretical density: 10.48 g cm⁻³

[8]
The following is a PBE calculation of PmY12Sc5 after structural relaxation, from Alexandria.

a b c (Å): 6.088 6.090 17.022
angles (deg): 93.39 96.80 60.01
Atoms (fractional coordinates):
Y (0.886, 0.667, 0.660)
Y (0.279, 0.664, 0.833)
Y (0.447, 0.667, 0.340)
Y (0.056, 0.664, 0.167)
Y (0.781, 0.000, 0.340)
Y (0.114, 0.333, 0.340)
Y (0.219, 0.000, 0.660)
Y (0.553, 0.333, 0.660)
Y (0.721, 0.336, 0.167)
Y (0.608, 0.000, 0.833)
Y (0.392, 0.000, 0.167)
Y (0.944, 0.336, 0.833)
Sc (0.500, 0.000, 0.500)
Sc (0.167, 0.667, 0.500)
Sc (0.667, 0.666, 0.000)
Sc (0.333, 0.334, 0.000)
Sc (0.833, 0.333, 0.500)
Pm (0.000, 0.000, 0.000)

space group: No. 12
M_tot: 0.0 μB per cell
energy of formation: 46 meV/atom
theoretical density: 4.40 g cm⁻³